Record 1
An optimized crystal structure of Ho2Re3Os, computed with GGA-PBE.

Values from the calculation:
ΔE_f = -0.236 eV per atom

a b c (Å): 5.2915 5.2915 5.4978
angles (deg): 118.78 118.78 60.11
Closest atoms and distances in Å follow each position.
Sites, in units of the cell vectors:
Ho: 0.1261 0.1261 0.3782  3 Os 3.10-3.11, 9 Re 3.16-3.23, 4 Ho 3.25-3.46
Ho: 0.8739 0.8739 0.6218  3 Os 3.10-3.11, 9 Re 3.16-3.23, 4 Ho 3.25-3.46
Re: 0.0000 0.5000 0.0000  4 Re 2.65, 2 Os 2.75
Re: 0.5000 0.0000 0.0000  4 Re 2.65, 2 Os 2.75
Re: 0.5000 0.5000 0.0000  4 Re 2.65, 2 Os 2.75
Os: 0.5000 0.5000 0.5000  6 Re 2.75

Record 2
An optimized crystal structure of Ho4OsRh3, computed with GGA-PBE.

Values from the calculation:
ΔE_f = -0.723 eV per atom

a b c (Å): 3.4137 3.4137 13.5491
angles (deg): 90.00 90.00 90.00
Closest atoms and distances in Å follow each position.
Sites, in units of the cell vectors:
Ho: 0.0000 0.0000 0.1223  4 Os 2.93, 4 Rh 3.00
Ho: 0.0000 0.0000 0.3747  8 Rh 2.92-2.95
Ho: 0.0000 0.0000 0.6253  8 Rh 2.92-2.95
Ho: 0.0000 0.0000 0.8777  4 Os 2.93, 4 Rh 3.00
Os: 0.5000 0.5000 0.0000  8 Ho 2.93
Rh: 0.5000 0.5000 0.2539  8 Ho 2.92-3.00
Rh: 0.5000 0.5000 0.5000  8 Ho 2.95
Rh: 0.5000 0.5000 0.7461  8 Ho 2.92-3.00

Record 3
An optimized crystal structure of Ho8OsRh2, computed with GGA-PBE.

Values from the calculation:
ΔE_f = -0.359 eV per atom
E above lowest polymorph = 1.56 kcal/mol of atoms

a b c (Å): 7.5219 7.5219 5.9378
angles (deg): 100.72 100.72 113.89
Closest atoms and distances in Å follow each position.
Sites, in units of the cell vectors:
Ho: 0.0000 0.0000 0.0000  1 Os 2.89, 2 Rh 3.04
Ho: 0.0162 0.2719 0.5918  2 Rh 2.76-2.80, 1 Os 3.01
Ho: 0.1467 0.5682 0.1791  1 Os 2.82
Ho: 0.2719 0.0162 0.5918  2 Rh 2.76-2.80, 1 Os 3.01
Ho: 0.4315 0.6859 0.7838  2 Rh 2.77-2.82, 1 Os 2.97
Ho: 0.5682 0.1467 0.1791  1 Os 2.82
Ho: 0.6859 0.4315 0.7838  2 Rh 2.77-2.82, 1 Os 2.97
Ho: 0.7100 0.7100 0.3585  1 Os 2.91, 2 Rh 3.03
Os: 0.3570 0.3570 0.0189  8 Ho 2.82-3.01
Rh: 0.0381 0.6599 0.6808  6 Ho 2.76-3.04
Rh: 0.6599 0.0381 0.6808  6 Ho 2.76-3.04

Record 4
An optimized crystal structure of Ho8Os2Rh, computed with GGA-PBE.

Values from the calculation:
ΔE_f = -0.280 eV per atom
E above lowest polymorph = 1.16 kcal/mol of atoms

a b c (Å): 7.5333 7.5333 5.7282
angles (deg): 100.21 100.21 112.42
Closest atoms and distances in Å follow each position.
Sites, in units of the cell vectors:
Ho: 0.0000 0.0000 0.0000  1 Rh 2.90, 2 Os 2.96
Ho: 0.0291 0.2889 0.5977  2 Os 2.78-2.81
Ho: 0.1489 0.5805 0.1949  1 Rh 2.72
Ho: 0.2889 0.0291 0.5977  2 Os 2.78-2.81
Ho: 0.4385 0.6986 0.7963  2 Os 2.79-2.81
Ho: 0.5805 0.1489 0.1949  1 Rh 2.72
Ho: 0.6986 0.4385 0.7963  2 Os 2.79-2.81
Ho: 0.7255 0.7255 0.3860  1 Rh 2.91, 2 Os 2.95
Os: 0.0515 0.6726 0.6917  8 Ho 2.78-3.11
Os: 0.6726 0.0515 0.6917  8 Ho 2.78-3.11
Rh: 0.3638 0.3638 0.1360  4 Ho 2.72-2.91

Record 5
An optimized crystal structure of Ho8Os2Rh, computed with GGA-PBE.

Values from the calculation:
ΔE_f = -0.330 eV per atom
E above lowest polymorph = 0.00 kcal/mol of atoms

a b c (Å): 9.0488 9.0488 6.9292
angles (deg): 106.33 106.33 30.28
Closest atoms and distances in Å follow each position.
Sites, in units of the cell vectors:
Ho: 0.0305 0.0305 0.2902  2 Rh 2.90, 1 Os 2.93
Ho: 0.2060 0.2060 0.8140  3 Os 2.82-3.06
Ho: 0.3310 0.3310 0.5361  3 Os 2.91-3.04, 1 Rh 3.04
Ho: 0.4015 0.4015 0.0343  2 Os 3.02, 1 Rh 3.18, 4 Ho 3.31-3.37
Ho: 0.5985 0.5985 0.9657  2 Os 3.02, 1 Rh 3.18, 4 Ho 3.31-3.37
Ho: 0.6690 0.6690 0.4639  3 Os 2.91-3.04, 1 Rh 3.04
Ho: 0.7940 0.7940 0.1860  3 Os 2.82-3.06
Ho: 0.9695 0.9695 0.7098  2 Rh 2.90, 1 Os 2.93
Os: 0.1846 0.1846 0.2017  9 Ho 2.82-3.06
Os: 0.8154 0.8154 0.7983  9 Ho 2.82-3.06
Rh: 0.5000 0.5000 0.5000  8 Ho 2.90-3.18

Record 6
An optimized crystal structure of Ho5OsRh2, computed with GGA-PBE.

Values from the calculation:
ΔE_f = -0.547 eV per atom

a b c (Å): 7.4391 11.9065 4.2687
angles (deg): 90.00 90.00 90.00
Closest atoms and distances in Å follow each position.
Sites, in units of the cell vectors:
Ho: 0.0000 0.0000 0.0000  4 Rh 2.93
Ho: 0.1631 0.2950 0.0000  1 Os 2.73, 2 Rh 3.05
Ho: 0.1760 0.5919 0.5000  2 Os 2.73, 2 Rh 2.87-3.05
Ho: 0.3240 0.0919 0.5000  2 Os 2.73, 2 Rh 2.87-3.05
Ho: 0.3369 0.7950 0.0000  1 Os 2.73, 2 Rh 3.05
Ho: 0.5000 0.5000 0.0000  4 Rh 2.93
Ho: 0.6631 0.2050 0.0000  1 Os 2.73, 2 Rh 3.05
Ho: 0.6760 0.9081 0.5000  2 Os 2.73, 2 Rh 2.87-3.05
Ho: 0.8240 0.4081 0.5000  2 Os 2.73, 2 Rh 2.87-3.05
Ho: 0.8369 0.7050 0.0000  1 Os 2.73, 2 Rh 3.05
Os: 0.0000 0.5000 0.0000  6 Ho 2.73
Os: 0.5000 0.0000 0.0000  6 Ho 2.73
Rh: 0.0436 0.8339 0.5000  8 Ho 2.87-3.09
Rh: 0.4564 0.3339 0.5000  8 Ho 2.87-3.09
Rh: 0.5436 0.6661 0.5000  8 Ho 2.87-3.09
Rh: 0.9564 0.1661 0.5000  8 Ho 2.87-3.09

Number 1: volume 18.48 A^3/atom. Number 2: volume 19.74 A^3/atom. Number 3: volume 26.25 A^3/atom. Number 4: volume 25.90 A^3/atom. Number 5: volume 24.88 A^3/atom. Number 6: volume 23.63 A^3/atom.